No. 1
{"formula": "KTc2W", "functional": "PBE-GGA", "state": "optimized geometry", "lattice_angstrom": [[5.473, 0.013, 0.000], [-1.950, 5.114, 0.000], [0.000, 0.000, 2.553]], "species": ["W", "Tc", "Tc", "K"], "frac_coords": [[0.500, 0.000, 0.500], [0.000, 0.000, 0.000], [0.500, 0.500, 0.000], [0.000, 0.500, 0.500]], "energy_ev_per_atom": -7.2522, "dos_ef_per_ev_fu": 5.2, "magnetic_moment_mub_per_atom": 0.001, "relative_energy_mev_per_atom": 730.0, "delta_e_f_mev_per_atom": 1443.5}

=====

No. 2
{"formula": "KTc2W", "functional": "PBE-GGA", "state": "optimized geometry", "lattice_angstrom": [[3.949, 0.000, 0.000], [0.000, 2.795, 0.231], [0.000, 2.246, 8.311]], "species": ["Tc", "Tc", "K", "W"], "frac_coords": [[0.500, 0.352, 0.240], [0.000, 0.958, 0.103], [0.500, 0.587, 0.758], [0.000, 0.603, 0.399]], "energy_ev_per_atom": -7.8640, "dos_ef_per_ev_fu": 2.5, "magnetic_moment_mub_per_atom": 0.000, "relative_energy_mev_per_atom": 118.2, "delta_e_f_mev_per_atom": 831.6}

=====

No. 3
{"formula": "K2TcW", "functional": "PBE-GGA", "state": "optimized geometry", "lattice_angstrom": [[-0.605, -2.672, 0.070], [2.711, 0.396, -0.019], [0.041, 0.311, 12.211]], "species": ["W", "Tc", "K", "K"], "frac_coords": [[0.500, 0.500, 0.750], [0.500, 0.500, 0.250], [0.000, 0.000, 0.009], [0.000, 0.000, 0.491]], "energy_ev_per_atom": -4.9099, "dos_ef_per_ev_fu": 3.7, "magnetic_moment_mub_per_atom": 0.000, "relative_energy_mev_per_atom": 532.3, "delta_e_f_mev_per_atom": 1468.6}

=====

No. 4
{"formula": "KTcW", "functional": "PBE-GGA", "state": "optimized geometry", "lattice_angstrom": [[-0.775, 1.195, 2.757], [-3.929, -0.518, -0.880], [0.423, -11.823, 5.074]], "species": ["Tc", "Tc", "K", "K", "W", "W"], "frac_coords": [[0.739, 0.000, 0.834], [0.250, 0.500, 0.079], [0.230, 0.500, 0.619], [0.748, 0.000, 0.294], [0.241, 0.500, 0.891], [0.748, 0.000, 0.023]], "energy_ev_per_atom": -7.6034, "dos_ef_per_ev_fu": 2.1, "magnetic_moment_mub_per_atom": 0.000, "relative_energy_mev_per_atom": 0.0, "delta_e_f_mev_per_atom": 535.5}

=====

No. 5
{"formula": "KTcW", "functional": "PBE-GGA", "state": "optimized geometry", "lattice_angstrom": [[3.062, 0.000, 0.001], [0.000, 4.348, 0.008], [-1.381, -0.020, 12.498]], "species": ["K", "K", "W", "W", "Tc", "Tc"], "frac_coords": [[0.695, 0.987, 0.291], [0.384, 0.489, 0.623], [0.459, 0.488, 0.045], [0.377, 0.988, 0.868], [0.992, 0.988, 0.041], [0.915, 0.488, 0.872]], "energy_ev_per_atom": -7.5579, "dos_ef_per_ev_fu": 2.1, "magnetic_moment_mub_per_atom": 0.000, "relative_energy_mev_per_atom": 45.5, "delta_e_f_mev_per_atom": 580.9}

=====

No. 6
{"formula": "K2TcW", "functional": "PBE-GGA", "state": "optimized geometry", "lattice_angstrom": [[-1.597, 1.654, -6.503], [2.177, -4.212, -5.009], [-1.755, -1.910, 6.391]], "species": ["W", "Tc", "K", "K"], "frac_coords": [[0.188, 0.688, 0.500], [0.555, 0.555, 0.000], [0.984, 0.984, 0.000], [0.773, 0.273, 0.500]], "energy_ev_per_atom": -5.2136, "dos_ef_per_ev_fu": 3.7, "magnetic_moment_mub_per_atom": 0.060, "relative_energy_mev_per_atom": 228.7, "delta_e_f_mev_per_atom": 1165.0}